The following is a DFT calculation (GGA-PBE) of a geometry-optimized ScMnRh2C structure.

a = 4.1420 Å, b = 4.1420 Å, c = 3.8942 Å
α = 90.00°, β = 90.00°, γ = 90.00°
Last column: magnetic moment on the atom in μB.
Positions (direct):
Sc: 0.5000 0.5000 0.5000  -0.13
Rh: 0.0000 0.5000 0.0000  0.09
Rh: 0.5000 0.0000 0.0000  0.09
Mn: 0.0000 0.0000 0.5000  2.11
C: 0.0000 0.0000 0.0000  -0.10

Computed properties:
- Symmetry: No. 123
- E_form: -0.365 eV per atom